Entry 1:
# meta-GGA SCAN HfHgIN2, single point on PBEsol structure
# Spin magnetization (μB/cell): 0.0
# Density (kg/m³): 9424
# Formation energy without anion corrections (eV/atom): 1.77
# Volume (A^3/atom): 18.82
# Uncorrected energy (eV per formula unit): -177.3
data_HfHgIN2
_chemical_formula_sum 'Hf1 Hg1 I1 N2'
_symmetry_space_group_name_H-M 'P 1'
_symmetry_Int_Tables_number 1
_cell_length_a 4.139
_cell_length_b 4.139
_cell_length_c 5.493
_cell_angle_alpha 90.00
_cell_angle_beta 90.00
_cell_angle_gamma 90.00
loop_
_symmetry_equiv_pos_as_xyz
'x,y,z'
loop_
_atom_site_label
_atom_site_type_symbol
_atom_site_fract_x
_atom_site_fract_y
_atom_site_fract_z
_atom_site_occupancy
Hf1 Hf 0.000 0.000 0.000 1
Hg1 Hg 0.500 0.500 0.000 1
I1 I 0.000 0.000 0.500 1
N1 N 0.000 0.500 0.500 1
N2 N 0.500 0.000 0.500 1

=====

Entry 2:
# meta-GGA SCAN RbHf2HgIr, single point on PBEsol structure
# Spin magnetization (μB/cell): 1.3
# Density (kg/m³): 11664
# Calculated formation energy (eV per atom): 2.79
# Volume (A^3/atom): 23.78
# Uncorrected energy (eV per formula unit): -271.4
data_RbHf2HgIr
_chemical_formula_sum 'Rb1 Hf2 Hg1 Ir1'
_symmetry_space_group_name_H-M 'P 1'
_symmetry_Int_Tables_number 1
_cell_length_a 4.824
_cell_length_b 4.824
_cell_length_c 5.110
_cell_angle_alpha 90.00
_cell_angle_beta 90.00
_cell_angle_gamma 90.00
loop_
_symmetry_equiv_pos_as_xyz
'x,y,z'
loop_
_atom_site_label
_atom_site_type_symbol
_atom_site_fract_x
_atom_site_fract_y
_atom_site_fract_z
_atom_site_occupancy
Rb1 Rb 0.000 0.000 0.000 1
Hf1 Hf 0.000 0.500 0.000 1
Hf2 Hf 0.500 0.000 0.000 1
Hg1 Hg 0.000 0.000 0.500 1
Ir1 Ir 0.500 0.500 0.500 1

=====

> The lowest spin magnetization belongs to which entry?

HfHgIN2

=====

> spin magnetization of number 1 (HfHgIN2)?

0.0 μB/cell

=====

> Number 1 is which compound?

HfHgIN2